1.
Below is a relaxed structure of BeCdSb4, with properties calculated at the PBE level.

As for the formation energy from raw total energies: 0.66 eV per atom. As for the total magnetization: 0.00 Bohr magnetons per cell.

abc: 8.773 8.773 8.773
angles: 90.00 90.00 90.00
Space group F-43m (No. 216)
Symmetry-distinct sites (fractional):
Be 0.000 0.000 0.000 (multiplicity 4)
Cd 0.250 0.250 0.750 (multiplicity 4)
Sb 0.125 0.125 0.375 (multiplicity 16)


2.
Below is a relaxed structure of BeCd2Sb, with properties calculated at the PBE level.

For the excess energy over the best structure of this formula in the dataset, the calculation gives 159.3 meV per atom. As for the formation energy from raw total energies: 0.37 eV per atom. As for the total magnetization: 0.00 Bohr magnetons per cell.

abc: 4.566 4.566 17.607
angles: 90.00 90.00 90.00
Space group I-42d (No. 122)
Symmetry-distinct sites (fractional):
Be 0.000 0.000 0.000 (multiplicity 4)
Cd 0.183 0.250 0.125 (multiplicity 8)
Sb 0.000 0.000 0.500 (multiplicity 4)


3.
Below is a relaxed structure of BeCdSb2, with properties calculated at the PBE level.

For the excess energy over the best structure of this formula in the dataset, the calculation gives 307.2 meV per atom. As for the formation energy from raw total energies: 0.52 eV per atom. As for the total magnetization: 0.00 Bohr magnetons per cell.

abc: 4.115 4.115 10.809
angles: 90.00 90.00 90.00
Space group I-4m2 (No. 119)
Symmetry-distinct sites (fractional):
Be 0.000 0.000 0.000 (multiplicity 2)
Cd 0.000 0.500 0.750 (multiplicity 2)
Sb 0.000 0.000 0.500 (multiplicity 2)
Sb 0.000 0.500 0.250 (multiplicity 2)


4.
Below is a relaxed structure of Be2CdSb, with properties calculated at the PBE level.

For the excess energy over the best structure of this formula in the dataset, the calculation gives 326.2 meV per atom. As for the formation energy from raw total energies: 0.63 eV per atom. As for the total magnetization: 0.00 Bohr magnetons per cell.

abc: 3.656 3.896 4.874
angles: 90.00 90.00 90.00
Space group Pmmm (No. 47)
Symmetry-distinct sites (fractional):
Be 0.000 0.000 0.000 (multiplicity 1)
Be 0.000 0.500 0.500 (multiplicity 1)
Cd 0.500 0.000 0.500 (multiplicity 1)
Sb 0.500 0.500 0.000 (multiplicity 1)


5.
Below is a relaxed structure of Sc2BeCdSb, with properties calculated at the PBE level.

As for the formation energy from raw total energies: 0.32 eV per atom. As for the total magnetization: 0.00 Bohr magnetons per cell.

abc: 5.414 5.414 4.422
angles: 90.00 90.00 90.00
Space group P4/mmm (No. 123)
Symmetry-distinct sites (fractional):
Sc 0.000 0.500 0.000 (multiplicity 2)
Be 0.000 0.000 0.500 (multiplicity 1)
Cd 0.500 0.500 0.500 (multiplicity 1)
Sb 0.000 0.000 0.000 (multiplicity 1)


6.
Below is a relaxed structure of Be2CdSnSb, with properties calculated at the PBE level.

As for the formation energy from raw total energies: 0.90 eV per atom. As for the total magnetization: 0.00 Bohr magnetons per cell.

abc: 4.635 4.635 5.765
angles: 90.00 90.00 90.00
Space group P4/mmm (No. 123)
Symmetry-distinct sites (fractional):
Be 0.000 0.500 0.000 (multiplicity 2)
Cd 0.000 0.000 0.500 (multiplicity 1)
Sn 0.500 0.500 0.500 (multiplicity 1)
Sb 0.000 0.000 0.000 (multiplicity 1)


7.
Below is a relaxed structure of BeCdSb2Te, with properties calculated at the PBE level.

For the excess energy over the best structure of this formula in the dataset, the calculation gives 795.6 meV per atom. As for the formation energy from raw total energies: 1.23 eV per atom. As for the total magnetization: 0.00 Bohr magnetons per cell.

abc: 5.498 5.498 5.621
angles: 90.00 90.00 90.00
Space group P4/mmm (No. 123)
Symmetry-distinct sites (fractional):
Be 0.000 0.000 0.000 (multiplicity 1)
Cd 0.500 0.500 0.500 (multiplicity 1)
Sb 0.000 0.500 0.500 (multiplicity 2)
Te 0.500 0.500 0.000 (multiplicity 1)


8.
Below is a relaxed structure of BeCdSb2Te, with properties calculated at the PBE level.

For the excess energy over the best structure of this formula in the dataset, the calculation gives 0.0 meV per atom. As for the formation energy from raw total energies: 0.44 eV per atom. As for the total magnetization: 0.00 Bohr magnetons per cell.

abc: 4.960 4.960 5.170
angles: 90.00 90.00 90.00
Space group P4/mmm (No. 123)
Symmetry-distinct sites (fractional):
Be 0.000 0.000 0.000 (multiplicity 1)
Cd 0.500 0.500 0.500 (multiplicity 1)
Sb 0.000 0.500 0.000 (multiplicity 2)
Te 0.000 0.000 0.500 (multiplicity 1)


What is the formula in the second record?
BeCd2Sb